First-principles (PBE-GGA) data for crystalline Ba2ZnIO6 at its relaxed geometry, as listed in the Alexandria database.

Cell lengths 10.5847, 10.5847, 10.5847 Å; angles 32.83, 32.83, 32.83 degrees
Fractional positions:
Ba (0.1237, 0.1237, 0.1237)
Ba (0.2896, 0.2896, 0.2896)
Ba (0.7104, 0.7104, 0.7104)
Ba (0.8763, 0.8763, 0.8763)
Zn (0.4045, 0.4045, 0.4045)
Zn (0.5955, 0.5955, 0.5955)
I (0.0000, 0.0000, 0.0000)
I (0.5000, 0.5000, 0.5000)
O (0.1631, 0.6125, 0.6125)
O (0.2035, 0.2035, 0.7171)
O (0.2035, 0.7171, 0.2035)
O (0.2829, 0.7965, 0.7965)
O (0.3875, 0.3875, 0.8369)
O (0.3875, 0.8369, 0.3875)
O (0.6125, 0.1631, 0.6125)
O (0.6125, 0.6125, 0.1631)
O (0.7171, 0.2035, 0.2035)
O (0.7965, 0.2829, 0.7965)
O (0.7965, 0.7965, 0.2829)
O (0.8369, 0.3875, 0.3875)

Summary:
For the total magnetization, the calculation gives 0.00 μB/f.u. The final energy is -105.09 eV per cell.